This record from the Alexandria database describes an optimized crystal structure of AcLaRh. The functional is PBE.

Cell: 7.3397 7.3397 7.3397 Å, 150.70 150.70 41.92°
With the nearest neighbours (Å) after each atom.
Sites, in units of the cell vectors:
Ac: 0.0000 0.0000 0.0000  4 Rh 3.20, 1 La 3.40
La: 0.2479 0.2479 0.0000  4 Rh 3.06, 1 Ac 3.40
Rh: 0.6336 0.6336 0.0000  4 La 3.06, 4 Ac 3.20

Computed properties:
distance to the lowest polymorph of the same formula	152	meV/atom
total magnetic moment	0.00	μB/f.u.
symmetry	I4mm
energy relative to the elements	-410	meV/atom
N(E_F)	3.2	states/eV/cell